{
  "formula": "DyYTmAg",
  "functional": "PBE",
  "state": "optimized geometry",
  "formation_enthalpy_0k_ev_per_atom": -0.14,
  "total_magnetization_mub_per_cell": 0.00,
  "space_group": "P4mm (99)",
  "cell": [[3.545, 0.000, 0.000], [0.000, 3.545, 0.000], [0.000, 0.000, 8.842]],
  "species": ["Dy", "Y", "Tm", "Ag"],
  "fractional_positions": [[0.000, 0.000, 0.000], [0.500, 0.500, 0.711], [0.500, 0.500, 0.283], [0.000, 0.000, 0.487]]
}


{
  "formula": "DyTmZnAg",
  "functional": "PBE",
  "state": "optimized geometry",
  "formation_enthalpy_0k_ev_per_atom": -0.33,
  "total_magnetization_mub_per_cell": 0.00,
  "space_group": "F-43m (216)",
  "cell": [[0.000, 3.581, 3.581], [3.581, 0.000, 3.581], [3.581, 3.581, 0.000]],
  "species": ["Dy", "Tm", "Zn", "Ag"],
  "fractional_positions": [[0.000, 0.000, 0.000], [0.500, 0.500, 0.500], [0.250, 0.250, 0.250], [0.750, 0.750, 0.750]]
}


{
  "formula": "Dy2VAg",
  "functional": "PBE",
  "state": "optimized geometry",
  "formation_enthalpy_0k_ev_per_atom": 0.02,
  "relative_energy_ev_per_fu": 0.00,
  "total_magnetization_mub_per_cell": 2.89,
  "space_group": "P4/mmm (123)",
  "cell": [[3.621, 0.000, 0.000], [0.000, 3.621, 0.000], [0.000, 0.000, 7.139]],
  "species": ["Dy", "Dy", "V", "Ag"],
  "fractional_positions": [[0.000, 0.000, 0.241], [0.000, 0.000, 0.759], [0.500, 0.500, 0.000], [0.500, 0.500, 0.500]]
}


{
  "formula": "Dy4YAg2",
  "functional": "PBE",
  "state": "optimized geometry",
  "formation_enthalpy_0k_ev_per_atom": 0.17,
  "total_magnetization_mub_per_cell": 0.00,
  "space_group": "R-3m (166)",
  "cell": [[2.491, 1.438, 10.126], [-2.491, 1.438, 10.126], [0.000, -2.876, 10.126]],
  "species": ["Dy", "Dy", "Dy", "Dy", "Y", "Ag", "Ag"],
  "fractional_positions": [[0.103, 0.103, 0.103], [0.298, 0.298, 0.298], [0.702, 0.702, 0.702], [0.897, 0.897, 0.897], [0.500, 0.500, 0.500], [0.399, 0.399, 0.399], [0.601, 0.601, 0.601]]
}


{
  "formula": "Dy4YAg",
  "functional": "PBE",
  "state": "optimized geometry",
  "formation_enthalpy_0k_ev_per_atom": -0.08,
  "relative_energy_ev_per_fu": 0.00,
  "total_magnetization_mub_per_cell": 0.00,
  "space_group": "P4/mmm (123)",
  "cell": [[3.549, 0.000, 0.000], [0.000, 3.549, 0.000], [0.000, 0.000, 13.948]],
  "species": ["Dy", "Dy", "Dy", "Dy", "Y", "Ag"],
  "fractional_positions": [[0.000, 0.000, 0.137], [0.000, 0.000, 0.863], [0.500, 0.500, 0.319], [0.500, 0.500, 0.681], [0.000, 0.000, 0.500], [0.500, 0.500, 0.000]]
}


{
  "formula": "Dy3YAg4",
  "functional": "PBE",
  "state": "optimized geometry",
  "formation_enthalpy_0k_ev_per_atom": -0.32,
  "total_magnetization_mub_per_cell": 0.00,
  "space_group": "Pmmm (47)",
  "cell": [[3.616, 0.000, 0.000], [0.000, 5.165, 0.000], [0.000, 0.000, 10.324]],
  "species": ["Dy", "Dy", "Dy", "Y", "Ag", "Ag", "Ag", "Ag"],
  "fractional_positions": [[0.000, 0.000, 0.000], [0.000, 0.500, 0.250], [0.000, 0.500, 0.750], [0.000, 0.000, 0.500], [0.500, 0.000, 0.249], [0.500, 0.000, 0.751], [0.500, 0.500, 0.000], [0.500, 0.500, 0.500]]
}


{
  "formula": "Dy2Y2Ag3",
  "functional": "PBE",
  "state": "optimized geometry",
  "formation_enthalpy_0k_ev_per_atom": -0.17,
  "total_magnetization_mub_per_cell": 0.00,
  "space_group": "P-1 (2)",
  "cell": [[5.106, 0.000, 0.000], [2.546, 4.429, 0.000], [2.545, 1.451, 8.242]],
  "species": ["Dy", "Dy", "Y", "Y", "Ag", "Ag", "Ag"],
  "fractional_positions": [[0.127, 0.128, 0.118], [0.873, 0.872, 0.882], [0.378, 0.379, 0.366], [0.622, 0.621, 0.634], [0.000, 0.000, 0.500], [0.250, 0.249, 0.750], [0.750, 0.751, 0.250]]
}


{
  "formula": "DyYAg",
  "functional": "PBE",
  "state": "optimized geometry",
  "formation_enthalpy_0k_ev_per_atom": -0.21,
  "relative_energy_ev_per_fu": 0.00,
  "total_magnetization_mub_per_cell": 0.00,
  "space_group": "Pnma (62)",
  "cell": [[7.045, 0.000, 0.000], [0.000, 5.070, 0.000], [0.000, 0.000, 9.095]],
  "species": ["Dy", "Dy", "Dy", "Dy", "Y", "Y", "Y", "Y", "Ag", "Ag", "Ag", "Ag"],
  "fractional_positions": [[0.152, 0.250, 0.078], [0.348, 0.750, 0.578], [0.652, 0.250, 0.422], [0.848, 0.750, 0.922], [0.016, 0.250, 0.685], [0.484, 0.750, 0.185], [0.516, 0.250, 0.815], [0.984, 0.750, 0.315], [0.238, 0.250, 0.398], [0.262, 0.750, 0.898], [0.738, 0.250, 0.102], [0.762, 0.750, 0.602]]
}


{
  "formula": "Dy4Y3Ag4",
  "functional": "PBE",
  "state": "optimized geometry",
  "formation_enthalpy_0k_ev_per_atom": -0.11,
  "total_magnetization_mub_per_cell": 0.00,
  "space_group": "Immm (71)",
  "cell": [[-2.518, 3.750, 7.903], [2.518, -3.750, 7.903], [2.518, 3.750, -7.903]],
  "species": ["Dy", "Dy", "Dy", "Dy", "Y", "Y", "Y", "Ag", "Ag", "Ag", "Ag"],
  "fractional_positions": [[0.046, 0.825, 0.222], [0.397, 0.175, 0.222], [0.603, 0.825, 0.778], [0.954, 0.175, 0.778], [0.000, 0.500, 0.500], [0.395, 0.395, 0.000], [0.605, 0.605, 0.000], [0.196, 0.696, 0.500], [0.313, 0.000, 0.313], [0.687, 0.000, 0.687], [0.804, 0.304, 0.500]]
}


{
  "formula": "DyYAg",
  "functional": "PBE",
  "state": "optimized geometry",
  "formation_enthalpy_0k_ev_per_atom": -0.18,
  "relative_energy_ev_per_fu": 0.09,
  "total_magnetization_mub_per_cell": 0.89,
  "space_group": "I4mm (107)",
  "cell": [[-1.802, 1.802, 6.266], [1.802, -1.802, 6.266], [1.802, 1.802, -6.266]],
  "species": ["Dy", "Y", "Ag"],
  "fractional_positions": [[0.000, 0.000, 0.000], [0.297, 0.297, 0.000], [0.647, 0.647, 0.000]]
}


{
  "formula": "Dy2YAg2",
  "functional": "PBE",
  "state": "optimized geometry",
  "formation_enthalpy_0k_ev_per_atom": -0.24,
  "relative_energy_ev_per_fu": 0.00,
  "total_magnetization_mub_per_cell": 0.00,
  "space_group": "Cmcm (63)",
  "cell": [[1.818, -13.445, 0.000], [1.818, 13.445, 0.000], [0.000, 0.000, 5.246]],
  "species": ["Dy", "Dy", "Dy", "Dy", "Y", "Y", "Ag", "Ag", "Ag", "Ag"],
  "fractional_positions": [[0.048, 0.952, 0.750], [0.234, 0.766, 0.750], [0.766, 0.234, 0.250], [0.952, 0.048, 0.250], [0.145, 0.855, 0.250], [0.855, 0.145, 0.750], [0.358, 0.642, 0.250], [0.453, 0.547, 0.750], [0.547, 0.453, 0.250], [0.642, 0.358, 0.750]]
}


{
  "formula": "Dy2Y3Ag2",
  "functional": "PBE",
  "state": "optimized geometry",
  "formation_enthalpy_0k_ev_per_atom": -0.10,
  "total_magnetization_mub_per_cell": 0.00,
  "space_group": "R-3m (166)",
  "cell": [[2.681, 1.548, 7.713], [-2.681, 1.548, 7.713], [0.000, -3.095, 7.713]],
  "species": ["Dy", "Dy", "Y", "Y", "Y", "Ag", "Ag"],
  "fractional_positions": [[0.076, 0.076, 0.076], [0.924, 0.924, 0.924], [0.339, 0.339, 0.339], [0.500, 0.500, 0.500], [0.661, 0.661, 0.661], [0.212, 0.212, 0.212], [0.788, 0.788, 0.788]]
}


{
  "formula": "DyY2Ag3",
  "functional": "PBE",
  "state": "optimized geometry",
  "formation_enthalpy_0k_ev_per_atom": -0.33,
  "total_magnetization_mub_per_cell": 0.00,
  "space_group": "P4/mmm (123)",
  "cell": [[3.627, 0.000, 0.000], [0.000, 3.627, 0.000], [0.000, 0.000, 11.011]],
  "species": ["Dy", "Y", "Y", "Ag", "Ag", "Ag"],
  "fractional_positions": [[0.000, 0.000, 0.000], [0.000, 0.000, 0.333], [0.000, 0.000, 0.667], [0.500, 0.500, 0.165], [0.500, 0.500, 0.500], [0.500, 0.500, 0.835]]
}


{
  "formula": "DyY2Ag",
  "functional": "PBE",
  "state": "optimized geometry",
  "formation_enthalpy_0k_ev_per_atom": 0.21,
  "relative_energy_ev_per_fu": 1.38,
  "total_magnetization_mub_per_cell": 0.84,
  "space_group": "R-3m (166)",
  "cell": [[1.718, 0.992, 11.556], [-1.718, 0.992, 11.556], [0.000, -1.984, 11.556]],
  "species": ["Dy", "Y", "Y", "Ag"],
  "fractional_positions": [[0.000, 0.000, 0.000], [0.097, 0.097, 0.097], [0.903, 0.903, 0.903], [0.500, 0.500, 0.500]]
}


{
  "formula": "Dy5YAg6",
  "functional": "PBE",
  "state": "optimized geometry",
  "formation_enthalpy_0k_ev_per_atom": -0.32,
  "total_magnetization_mub_per_cell": 0.00,
  "space_group": "P2/m (10)",
  "cell": [[5.166, 0.000, 0.000], [0.000, 7.217, 0.000], [-2.567, 0.000, 7.749]],
  "species": ["Dy", "Dy", "Dy", "Dy", "Dy", "Y", "Ag", "Ag", "Ag", "Ag", "Ag", "Ag"],
  "fractional_positions": [[0.000, 0.000, 0.000], [0.333, 0.500, 0.666], [0.334, 0.000, 0.667], [0.666, 0.000, 0.333], [0.667, 0.500, 0.334], [0.000, 0.500, 0.000], [0.167, 0.249, 0.334], [0.167, 0.751, 0.334], [0.500, 0.249, 0.000], [0.500, 0.751, 0.000], [0.833, 0.249, 0.666], [0.833, 0.751, 0.666]]
}


{
  "formula": "DyY4Ag5",
  "functional": "PBE",
  "state": "optimized geometry",
  "formation_enthalpy_0k_ev_per_atom": -0.33,
  "total_magnetization_mub_per_cell": 0.00,
  "space_group": "P4/mmm (123)",
  "cell": [[3.614, 0.000, 0.000], [0.000, 3.614, 0.000], [0.000, 0.000, 18.497]],
  "species": ["Dy", "Y", "Y", "Y", "Y", "Ag", "Ag", "Ag", "Ag", "Ag"],
  "fractional_positions": [[0.000, 0.000, 0.000], [0.000, 0.000, 0.200], [0.000, 0.000, 0.400], [0.000, 0.000, 0.600], [0.000, 0.000, 0.800], [0.500, 0.500, 0.099], [0.500, 0.500, 0.300], [0.500, 0.500, 0.500], [0.500, 0.500, 0.700], [0.500, 0.500, 0.901]]
}


{
  "formula": "Dy3Y2Ag3",
  "functional": "PBE",
  "state": "optimized geometry",
  "formation_enthalpy_0k_ev_per_atom": -0.22,
  "total_magnetization_mub_per_cell": 0.00,
  "space_group": "Immm (71)",
  "cell": [[-1.836, 2.631, 10.790], [1.836, -2.631, 10.790], [1.836, 2.631, -10.790]],
  "species": ["Dy", "Dy", "Dy", "Y", "Y", "Ag", "Ag", "Ag"],
  "fractional_positions": [[0.000, 0.000, 0.000], [0.380, 0.880, 0.500], [0.620, 0.120, 0.500], [0.231, 0.231, 0.000], [0.769, 0.769, 0.000], [0.116, 0.616, 0.500], [0.500, 0.500, 0.000], [0.884, 0.384, 0.500]]
}


{
  "formula": "DyY2Ag",
  "functional": "PBE",
  "state": "optimized geometry",
  "formation_enthalpy_0k_ev_per_atom": -0.01,
  "relative_energy_ev_per_fu": 0.48,
  "total_magnetization_mub_per_cell": 0.24,
  "space_group": "R3m (160)",
  "cell": [[1.812, 1.046, 10.291], [-1.812, 1.046, 10.291], [0.000, -2.092, 10.291]],
  "species": ["Dy", "Y", "Y", "Ag"],
  "fractional_positions": [[0.000, 0.000, 0.000], [0.574, 0.574, 0.574], [0.759, 0.759, 0.759], [0.166, 0.166, 0.166]]
}


{
  "formula": "DyY3Ag",
  "functional": "PBE",
  "state": "optimized geometry",
  "formation_enthalpy_0k_ev_per_atom": 0.04,
  "total_magnetization_mub_per_cell": 0.00,
  "space_group": "C2/m (12)",
  "cell": [[5.739, -4.247, 0.000], [5.739, 4.247, 0.000], [-4.328, 0.000, 6.520]],
  "species": ["Dy", "Dy", "Y", "Y", "Y", "Y", "Y", "Y", "Ag", "Ag"],
  "fractional_positions": [[0.081, 0.081, 0.274], [0.919, 0.919, 0.726], [0.017, 0.611, 0.295], [0.389, 0.983, 0.705], [0.450, 0.450, 0.687], [0.550, 0.550, 0.313], [0.611, 0.017, 0.295], [0.983, 0.389, 0.705], [0.231, 0.231, 0.062], [0.769, 0.769, 0.938]]
}


{
  "formula": "DyY2Ag",
  "functional": "PBE",
  "state": "optimized geometry",
  "formation_enthalpy_0k_ev_per_atom": -0.13,
  "relative_energy_ev_per_fu": 0.00,
  "total_magnetization_mub_per_cell": 0.00,
  "space_group": "P4/mmm (123)",
  "cell": [[3.572, 0.000, 0.000], [0.000, 3.572, 0.000], [0.000, 0.000, 8.894]],
  "species": ["Dy", "Y", "Y", "Ag"],
  "fractional_positions": [[0.000, 0.000, 0.000], [0.500, 0.500, 0.285], [0.500, 0.500, 0.715], [0.000, 0.000, 0.500]]
}


{
  "formula": "Dy4Y5Ag",
  "functional": "PBE",
  "state": "optimized geometry",
  "formation_enthalpy_0k_ev_per_atom": -0.04,
  "total_magnetization_mub_per_cell": 0.00,
  "space_group": "P4/mmm (123)",
  "cell": [[3.557, 0.000, 0.000], [0.000, 3.557, 0.000], [0.000, 0.000, 24.073]],
  "species": ["Dy", "Dy", "Dy", "Dy", "Y", "Y", "Y", "Y", "Y", "Ag"],
  "fractional_positions": [[0.000, 0.000, 0.105], [0.000, 0.000, 0.314], [0.000, 0.000, 0.686], [0.000, 0.000, 0.895], [0.500, 0.500, 0.000], [0.500, 0.500, 0.210], [0.500, 0.500, 0.420], [0.500, 0.500, 0.580], [0.500, 0.500, 0.790], [0.000, 0.000, 0.500]]
}


{
  "formula": "DyY4Ag",
  "functional": "PBE",
  "state": "optimized geometry",
  "formation_enthalpy_0k_ev_per_atom": -0.08,
  "relative_energy_ev_per_fu": 0.00,
  "total_magnetization_mub_per_cell": 0.00,
  "space_group": "P4/mmm (123)",
  "cell": [[3.566, 0.000, 0.000], [0.000, 3.566, 0.000], [0.000, 0.000, 13.995]],
  "species": ["Dy", "Y", "Y", "Y", "Y", "Ag"],
  "fractional_positions": [[0.000, 0.000, 0.000], [0.000, 0.000, 0.364], [0.000, 0.000, 0.636], [0.500, 0.500, 0.179], [0.500, 0.500, 0.821], [0.500, 0.500, 0.500]]
}


{
  "formula": "Dy5YAg4",
  "functional": "PBE",
  "state": "optimized geometry",
  "formation_enthalpy_0k_ev_per_atom": -0.25,
  "total_magnetization_mub_per_cell": 0.00,
  "space_group": "P4/mmm (123)",
  "cell": [[3.611, 0.000, 0.000], [0.000, 3.611, 0.000], [0.000, 0.000, 19.679]],
  "species": ["Dy", "Dy", "Dy", "Dy", "Dy", "Y", "Ag", "Ag", "Ag", "Ag"],
  "fractional_positions": [[0.000, 0.000, 0.000], [0.000, 0.000, 0.188], [0.000, 0.000, 0.374], [0.000, 0.000, 0.626], [0.000, 0.000, 0.812], [0.500, 0.500, 0.500], [0.500, 0.500, 0.093], [0.500, 0.500, 0.281], [0.500, 0.500, 0.719], [0.500, 0.500, 0.907]]
}


{
  "formula": "DyY5Ag4",
  "functional": "PBE",
  "state": "optimized geometry",
  "formation_enthalpy_0k_ev_per_atom": -0.25,
  "total_magnetization_mub_per_cell": 0.00,
  "space_group": "P4/mmm (123)",
  "cell": [[3.619, 0.000, 0.000], [0.000, 3.619, 0.000], [0.000, 0.000, 19.739]],
  "species": ["Dy", "Y", "Y", "Y", "Y", "Y", "Ag", "Ag", "Ag", "Ag"],
  "fractional_positions": [[0.000, 0.000, 0.000], [0.500, 0.500, 0.126], [0.500, 0.500, 0.312], [0.500, 0.500, 0.500], [0.500, 0.500, 0.688], [0.500, 0.500, 0.874], [0.000, 0.000, 0.219], [0.000, 0.000, 0.407], [0.000, 0.000, 0.593], [0.000, 0.000, 0.781]]
}


{
  "formula": "DyYAg",
  "functional": "PBE",
  "state": "optimized geometry",
  "formation_enthalpy_0k_ev_per_atom": 0.04,
  "relative_energy_ev_per_fu": 0.76,
  "total_magnetization_mub_per_cell": 0.00,
  "space_group": "Pnma (62)",
  "cell": [[10.062, 0.000, 0.000], [0.000, 5.042, 0.000], [0.000, 0.000, 7.090]],
  "species": ["Dy", "Dy", "Dy", "Dy", "Y", "Y", "Y", "Y", "Ag", "Ag", "Ag", "Ag"],
  "fractional_positions": [[0.124, 0.250, 0.008], [0.376, 0.750, 0.508], [0.624, 0.250, 0.492], [0.876, 0.750, 0.992], [0.126, 0.250, 0.509], [0.374, 0.750, 0.009], [0.626, 0.250, 0.991], [0.874, 0.750, 0.491], [0.125, 0.750, 0.754], [0.375, 0.250, 0.254], [0.625, 0.750, 0.746], [0.875, 0.250, 0.246]]
}